VASP calculation (PBE-GGA) on a geometry-optimized Tb2In8Pd structure.

Cell lengths 4.6866, 4.6866, 12.1284 Å; angles 90.00, 90.00, 90.00 degrees
Space group P4/mmm (No. 123)
Inequivalent atoms, fractional coordinates:
Tb (0.0000, 0.0000, 0.1891)
In (0.0000, 0.5000, 0.0000)
In (0.0000, 0.5000, 0.3735)
In (0.5000, 0.5000, 0.1913)
Pd (0.0000, 0.0000, 0.5000)

=====

VASP calculation (PBE-GGA) on a geometry-optimized Tb3InPd2 structure.

Cell lengths 3.5640, 3.5640, 11.1662 Å; angles 90.00, 90.00, 90.00 degrees
Space group P4/mmm (No. 123)
Inequivalent atoms, fractional coordinates:
Tb (0.0000, 0.0000, 0.0000)
Tb (0.0000, 0.0000, 0.3100)
In (0.5000, 0.5000, 0.5000)
Pd (0.5000, 0.5000, 0.1596)

=====

VASP calculation (PBE-GGA) on a geometry-optimized TbIn4Pd2 structure.

Cell lengths 18.5212, 4.5464, 7.2483 Å; angles 90.00, 90.00, 90.00 degrees
Space group Pnma (No. 62)
Inequivalent atoms, fractional coordinates:
Tb (0.1424, 0.2500, 0.0306)
In (0.0345, 0.7500, 0.8565)
In (0.0694, 0.2500, 0.4957)
In (0.1864, 0.7500, 0.3276)
In (0.1909, 0.7500, 0.7427)
Pd (0.0412, 0.7500, 0.2460)
Pd (0.2174, 0.2500, 0.5383)

=====

VASP calculation (PBE-GGA) on a geometry-optimized TbInPd6 structure.

Cell lengths 4.0890, 4.0890, 8.1711 Å; angles 90.00, 90.00, 90.00 degrees
Space group P4/mmm (No. 123)
Inequivalent atoms, fractional coordinates:
Tb (0.0000, 0.0000, 0.0000)
In (0.0000, 0.0000, 0.5000)
Pd (0.0000, 0.5000, 0.2567)
Pd (0.5000, 0.5000, 0.0000)
Pd (0.5000, 0.5000, 0.5000)

E above lowest polymorph = 0.000 eV per atom

=====

VASP calculation (PBE-GGA) on a geometry-optimized Tb4InPd15 structure.

Cell lengths 4.1175, 4.1175, 20.5382 Å; angles 90.00, 90.00, 90.00 degrees
Space group P4/mmm (No. 123)
Inequivalent atoms, fractional coordinates:
Tb (0.0000, 0.0000, 0.1012)
Tb (0.0000, 0.0000, 0.3036)
In (0.0000, 0.0000, 0.5000)
Pd (0.0000, 0.5000, 0.0000)
Pd (0.0000, 0.5000, 0.2023)
Pd (0.0000, 0.5000, 0.4044)
Pd (0.5000, 0.5000, 0.1016)
Pd (0.5000, 0.5000, 0.3033)
Pd (0.5000, 0.5000, 0.5000)

=====

VASP calculation (PBE-GGA) on a geometry-optimized TbIn8Pd2 structure.

Cell lengths 8.7060, 12.3913, 5.0995 Å; angles 90.00, 102.54, 90.00 degrees
Space group C2/m (No. 12)
Inequivalent atoms, fractional coordinates:
Tb (0.0000, 0.0000, 0.0000)
In (0.0000, 0.2542, 0.0000)
In (0.1206, 0.5000, 0.8148)
In (0.2015, 0.1273, 0.5977)
Pd (0.0000, 0.3189, 0.5000)

=====

VASP calculation (PBE-GGA) on a geometry-optimized TbIn4Pd7 structure.

Cell lengths 11.2143, 5.0081, 9.9325 Å; angles 90.00, 122.60, 90.00 degrees
Space group C2/m (No. 12)
Inequivalent atoms, fractional coordinates:
Tb (0.0000, 0.0000, 0.0000)
In (0.0886, 0.5000, 0.7751)
In (0.2386, 0.5000, 0.3338)
Pd (0.0000, 0.5000, 0.0000)
Pd (0.0660, 0.0000, 0.3348)
Pd (0.1414, 0.5000, 0.5360)
Pd (0.2180, 0.0000, 0.9059)

=====

VASP calculation (PBE-GGA) on a geometry-optimized Tb5InPd2 structure.

Cell lengths 7.9142, 7.9142, 13.4607 Å; angles 90.00, 90.00, 90.00 degrees
Space group I4/mcm (No. 140)
Inequivalent atoms, fractional coordinates:
Tb (0.0000, 0.0000, 0.0000)
Tb (0.1584, 0.3416, 0.1408)
In (0.0000, 0.0000, 0.2500)
Pd (0.1335, 0.3665, 0.5000)

=====

VASP calculation (PBE-GGA) on a geometry-optimized Tb12InPd5 structure.

Cell lengths 9.5393, 9.7349, 10.3273 Å; angles 90.00, 90.00, 90.00 degrees
Space group Immm (No. 71)
Inequivalent atoms, fractional coordinates:
Tb (0.0000, 0.1895, 0.2258)
Tb (0.2003, 0.5000, 0.1742)
Tb (0.2128, 0.3195, 0.5000)
In (0.0000, 0.0000, 0.5000)
Pd (0.0000, 0.0000, 0.0000)
Pd (0.0000, 0.3499, 0.0000)
Pd (0.0000, 0.5000, 0.3669)

=====

VASP calculation (PBE-GGA) on a geometry-optimized TbInPd14 structure.

Cell lengths 5.7143, 5.7143, 7.9564 Å; angles 90.00, 90.00, 90.00 degrees
Space group P4/mmm (No. 123)
Inequivalent atoms, fractional coordinates:
Tb (0.0000, 0.0000, 0.0000)
In (0.5000, 0.5000, 0.0000)
Pd (0.0000, 0.0000, 0.5000)
Pd (0.0000, 0.5000, 0.0000)
Pd (0.0000, 0.5000, 0.5000)
Pd (0.2516, 0.2516, 0.2557)
Pd (0.5000, 0.5000, 0.5000)

=====

VASP calculation (PBE-GGA) on a geometry-optimized Tb2In3Pd4 structure.

Cell lengths 8.3040, 4.8132, 9.1715 Å; angles 90.00, 90.40, 90.00 degrees
Space group C2/m (No. 12)
Inequivalent atoms, fractional coordinates:
Tb (0.1660, 0.0000, 0.2819)
In (0.0000, 0.5000, 0.5000)
In (0.1683, 0.0000, 0.9112)
Pd (0.0021, 0.5000, 0.8492)
Pd (0.1671, 0.0000, 0.5954)

E above lowest polymorph = 0.000 eV per atom

=====

VASP calculation (PBE-GGA) on a geometry-optimized TbInPd2 structure.

Cell lengths 4.7458, 4.7458, 3.5242 Å; angles 90.00, 90.00, 90.00 degrees
Space group P4/mmm (No. 123)
Inequivalent atoms, fractional coordinates:
Tb (0.0000, 0.0000, 0.0000)
In (0.5000, 0.5000, 0.0000)
Pd (0.0000, 0.5000, 0.5000)

=====

VASP calculation (PBE-GGA) on a geometry-optimized Tb3In2Pd7 structure.

Cell lengths 4.5260, 23.4410, 4.6290 Å; angles 90.00, 90.00, 90.00 degrees
Space group Cmmm (No. 65)
Inequivalent atoms, fractional coordinates:
Tb (0.0000, 0.0000, 0.0000)
Tb (0.0000, 0.1610, 0.0000)
In (0.0000, 0.3510, 0.5000)
Pd (0.0000, 0.0780, 0.5000)
Pd (0.0000, 0.2218, 0.5000)
Pd (0.0000, 0.4198, 0.0000)
Pd (0.0000, 0.5000, 0.5000)

=====

VASP calculation (PBE-GGA) on a geometry-optimized Tb2InPd4 structure.

Cell lengths 4.9284, 4.9284, 14.2362 Å; angles 90.00, 90.00, 90.00 degrees
Space group I4/mmm (No. 139)
Inequivalent atoms, fractional coordinates:
Tb (0.0000, 0.0000, 0.1295)
In (0.0000, 0.0000, 0.5000)
Pd (0.0000, 0.0000, 0.3133)
Pd (0.0000, 0.5000, 0.0000)

E above lowest polymorph = 0.497 eV per atom

=====

VASP calculation (PBE-GGA) on a geometry-optimized Tb5InPd4 structure.

Cell lengths 3.5659, 3.5659, 18.0337 Å; angles 90.00, 90.00, 90.00 degrees
Space group P4/mmm (No. 123)
Inequivalent atoms, fractional coordinates:
Tb (0.0000, 0.0000, 0.0000)
Tb (0.0000, 0.0000, 0.1925)
Tb (0.0000, 0.0000, 0.3833)
In (0.5000, 0.5000, 0.5000)
Pd (0.5000, 0.5000, 0.0960)
Pd (0.5000, 0.5000, 0.2901)

=====

VASP calculation (PBE-GGA) on a geometry-optimized Tb3InPd12 structure.

Cell lengths 4.1204, 4.1204, 16.3646 Å; angles 90.00, 90.00, 90.00 degrees
Space group P4/mmm (No. 123)
Inequivalent atoms, fractional coordinates:
Tb (0.0000, 0.0000, 0.0000)
Tb (0.0000, 0.0000, 0.2540)
In (0.0000, 0.0000, 0.5000)
Pd (0.0000, 0.5000, 0.1266)
Pd (0.0000, 0.5000, 0.3802)
Pd (0.5000, 0.5000, 0.0000)
Pd (0.5000, 0.5000, 0.2533)
Pd (0.5000, 0.5000, 0.5000)

=====

VASP calculation (PBE-GGA) on a geometry-optimized Tb2In3Pd4 structure.

Cell lengths 5.9520, 17.0037, 7.4216 Å; angles 90.00, 90.00, 90.00 degrees
Space group Cmce (No. 64)
Inequivalent atoms, fractional coordinates:
Tb (0.0000, 0.1024, 0.0859)
In (0.0000, 0.0000, 0.5000)
In (0.2500, 0.2369, 0.7500)
Pd (0.0000, 0.1634, 0.4730)
Pd (0.2500, 0.0728, 0.7500)

E above lowest polymorph = 0.007 eV per atom

=====

VASP calculation (PBE-GGA) on a geometry-optimized TbIn3Pd12 structure.

Cell lengths 4.0652, 4.0652, 16.2443 Å; angles 90.00, 90.00, 90.00 degrees
Space group P4/mmm (No. 123)
Inequivalent atoms, fractional coordinates:
Tb (0.0000, 0.0000, 0.0000)
In (0.0000, 0.0000, 0.2548)
In (0.0000, 0.0000, 0.5000)
Pd (0.0000, 0.5000, 0.1299)
Pd (0.0000, 0.5000, 0.3768)
Pd (0.5000, 0.5000, 0.0000)
Pd (0.5000, 0.5000, 0.2522)
Pd (0.5000, 0.5000, 0.5000)

=====

VASP calculation (PBE-GGA) on a geometry-optimized TbInPd2 structure.

Cell lengths 3.4811, 3.4811, 6.5919 Å; angles 90.00, 90.00, 90.00 degrees
Space group P4/mmm (No. 123)
Inequivalent atoms, fractional coordinates:
Tb (0.0000, 0.0000, 0.0000)
In (0.0000, 0.0000, 0.5000)
Pd (0.5000, 0.5000, 0.2675)

=====

VASP calculation (PBE-GGA) on a geometry-optimized TbIn2Pd3 structure.

Cell lengths 4.7795, 4.7795, 11.6263 Å; angles 90.00, 90.00, 120.00 degrees
Space group P-3m1 (No. 164)
Inequivalent atoms, fractional coordinates:
Tb (0.3333, 0.6667, 0.1705)
In (0.0000, 0.0000, 0.0000)
In (0.0000, 0.0000, 0.5000)
In (0.3333, 0.6667, 0.6672)
Pd (0.0000, 0.0000, 0.2613)
Pd (0.3333, 0.6667, 0.4258)
Pd (0.3333, 0.6667, 0.9143)

=====

no.,E_form (eV per atom),total magnetic moment (Bohr magnetons per cell)
1,-0.414,0.0
2,-0.740,0.0
3,-0.541,0.0
4,-0.652,0.0
5,-0.784,0.0
6,-0.240,0.0
7,-0.457,0.0
8,-0.582,0.0
9,-0.571,0.0
10,-0.306,0.0
11,-0.703,0.0
12,-0.709,0.0
13,-0.694,0.0
14,-0.202,0.0
15,-0.784,0.0
16,-0.759,0.0
17,-0.695,0.0
18,-0.538,0.0
19,-0.706,0.0
20,-0.704,0.0